[1]
## Na2CdHg (PBE)

Data for a geometry-optimized Na2CdHg structure.

POSCAR file:
```
Na2CdHg
1.0
-4.350 -0.660 0.191
0.544 -4.251 -2.297
0.529 -2.246 4.280
Na Hg Cd
2 1 1
direct
0.000 0.500 0.000
0.000 0.000 0.500
0.500 0.500 0.500
0.500 0.000 0.000
```

Distance to the lowest polymorph of the same formula (eV/f.u.): 0.00
Space group: P4/mmm

[2]
## K3In3SbS8 (PBE)

Data for a geometry-optimized K3In3SbS8 structure.

POSCAR file:
```
K3In3SbS8
1.0
7.746 0.000 0.000
-3.873 6.711 -0.025
0.000 -4.449 7.540
S In K Sb
8 3 3 1
direct
0.269 0.538 0.308
0.269 0.037 0.305
0.768 0.536 0.305
0.232 0.963 0.695
0.731 0.462 0.692
0.232 0.464 0.695
0.768 0.037 0.305
0.731 0.963 0.695
0.500 0.000 0.500
0.500 0.500 0.500
0.000 0.500 0.500
0.000 0.000 0.000
0.000 0.500 0.000
0.500 0.500 0.000
0.000 0.000 0.500
```

Formation energy without anion corrections (eV/atom): -0.7576
Space group: R-3m

[3]
## MgPaHgRu (PBE)

Data for a geometry-optimized MgPaHgRu structure.

POSCAR file:
```
MgPaHgRu
1.0
-1.471 -1.637 -4.371
-1.461 -4.643 -0.509
-4.727 -1.008 -0.772
Mg Ru Hg Pa
1 1 1 1
direct
0.000 0.000 0.000
0.750 0.750 0.750
0.250 0.250 0.250
0.500 0.500 0.500
```

Space group: F-43m

[4]
## Pa2VZnN6 (PBE)

Data for a geometry-optimized Pa2VZnN6 structure.

POSCAR file:
```
Pa2VZnN6
1.0
-3.634 0.548 3.928
-2.176 -5.207 -1.287
4.867 -3.223 4.811
N V Pa Zn
12 2 4 2
direct
0.835 0.801 0.566
0.621 0.054 0.242
0.121 0.446 0.742
0.306 0.668 0.444
0.194 0.168 0.056
0.165 0.199 0.434
0.694 0.332 0.556
0.379 0.946 0.758
0.806 0.832 0.944
0.665 0.301 0.934
0.335 0.699 0.066
0.879 0.554 0.258
0.500 0.000 0.000
0.000 0.500 0.500
0.982 0.080 0.754
0.482 0.420 0.254
0.518 0.580 0.746
0.018 0.920 0.246
0.500 0.000 0.500
0.000 0.500 0.000
```

Formation energy without anion corrections (eV/atom): -0.9080
Space group: P2_1/c

[5]
## Dy2ReC (PBE)

Data for a geometry-optimized Dy2ReC structure.

POSCAR file:
```
Dy2ReC
1.0
-1.086 -0.922 2.981
-1.691 -2.817 0.343
6.321 -5.434 2.454
C Re Dy
1 1 2
direct
0.500 0.500 0.500
0.000 0.000 0.000
0.889 0.889 0.334
0.111 0.111 0.666
```

Space group: R-3m

[6]
## YGeBr3 (PBE)

Data for a geometry-optimized YGeBr3 structure.

POSCAR file:
```
YGeBr3
1.0
-0.767 0.540 5.348
4.946 -2.045 0.916
2.105 5.001 -0.203
Br Y Ge
3 1 1
direct
0.000 0.500 0.000
0.000 0.000 0.500
0.500 0.000 0.000
0.500 0.500 0.500
0.000 0.000 0.000
```

Distance to the lowest polymorph of the same formula (eV/f.u.): 2.59
Formation energy without anion corrections (eV/atom): -0.2018
Space group: Pm-3m

Number 1: E_tot -1.12 eV/atom. Number 2: E_tot -4.00 eV/atom. Number 3: E_tot -5.18 eV/atom. Number 4: E_tot -8.84 eV/atom. Number 5: E_tot -7.03 eV/atom. Number 6: E_tot -3.42 eV/atom.